No. 1
VASP calculation (PBE) on crystalline GdThHgOs at its relaxed geometry.

* Fermi-level density of states: 3.12 states/eV/cell
* size of the total moment: 1.746 μB/atom
* energy of formation: -0.186 eV/atom

Unit cell a=5.151 b=5.151 c=5.151 alpha=60.00 beta=60.00 gamma=60.00
Sites, in units of the cell vectors:
Th 0.250 0.250 0.250
Gd 0.750 0.750 0.750
Os 0.000 0.000 0.000
Hg 0.500 0.500 0.500

***

No. 2
VASP calculation (PBE) on crystalline Gd2PaHg at its relaxed geometry.

* Fermi-level density of states: 7.82 states/eV/cell
* distance to the lowest polymorph of the same formula: 219.1 meV/atom
* size of the total moment: 3.995 μB/atom
* energy of formation: 0.087 eV/atom

Unit cell a=4.601 b=4.851 c=4.851 alpha=90.00 beta=90.00 gamma=90.00
Sites, in units of the cell vectors:
Gd 0.000 0.000 0.500
Gd 0.000 0.500 0.000
Pa 0.500 0.500 0.500
Hg 0.500 0.000 0.000

***

No. 3
VASP calculation (PBE) on crystalline GdPaHg at its relaxed geometry.

* Fermi-level density of states: 5.62 states/eV/cell
* distance to the lowest polymorph of the same formula: 232.3 meV/atom
* size of the total moment: 2.230 μB/atom
* energy of formation: 0.242 eV/atom

Unit cell a=3.041 b=5.297 c=5.297 alpha=120.00 beta=90.00 gamma=90.00
Sites, in units of the cell vectors:
Gd 0.500 0.333 0.667
Pa 0.500 0.667 0.333
Hg 0.000 0.000 0.000

***

No. 4
VASP calculation (PBE) on crystalline Gd2PaHg at its relaxed geometry.

* Fermi-level density of states: 6.03 states/eV/cell
* distance to the lowest polymorph of the same formula: 288.1 meV/atom
* size of the total moment: 3.636 μB/atom
* energy of formation: 0.156 eV/atom

Unit cell a=3.419 b=3.419 c=11.901 alpha=81.74 beta=81.74 gamma=60.00
Sites, in units of the cell vectors:
Gd 0.410 0.410 0.771
Gd 0.590 0.590 0.229
Hg 0.500 0.500 0.500
Pa 0.000 0.000 0.000

***

No. 5
VASP calculation (PBE) on crystalline GdPaHg4 at its relaxed geometry.

* Fermi-level density of states: 9.24 states/eV/cell
* size of the total moment: 1.557 μB/atom
* energy of formation: 0.016 eV/atom

Unit cell a=5.948 b=5.948 c=5.948 alpha=60.00 beta=60.00 gamma=60.00
Sites, in units of the cell vectors:
Hg 0.625 0.625 0.125
Hg 0.125 0.625 0.625
Hg 0.625 0.625 0.625
Hg 0.625 0.125 0.625
Gd 0.000 0.000 0.000
Pa 0.250 0.250 0.250

***

No. 6
VASP calculation (PBE) on crystalline GdPaHg at its relaxed geometry.

* Fermi-level density of states: 5.28 states/eV/cell
* distance to the lowest polymorph of the same formula: 0.0 meV/atom
* size of the total moment: 2.287 μB/atom
* energy of formation: 0.010 eV/atom

Unit cell a=3.249 b=3.249 c=7.741 alpha=102.11 beta=102.11 gamma=90.00
Sites, in units of the cell vectors:
Gd 0.006 0.006 0.012
Pa 0.329 0.329 0.658
Hg 0.665 0.665 0.330

***

No. 7
VASP calculation (PBE) on crystalline Gd2PaHg at its relaxed geometry.

* Fermi-level density of states: 3.87 states/eV/cell
* distance to the lowest polymorph of the same formula: 0.0 meV/atom
* size of the total moment: 3.456 μB/atom
* energy of formation: -0.132 eV/atom

Unit cell a=3.472 b=3.472 c=8.989 alpha=90.00 beta=90.00 gamma=90.00
Sites, in units of the cell vectors:
Pa 0.500 0.500 0.500
Hg 0.500 0.500 0.000
Gd 0.000 0.000 0.239
Gd 0.000 0.000 0.761

***

No. 8
VASP calculation (PBE) on crystalline GdPa2Hg at its relaxed geometry.

* Fermi-level density of states: 8.53 states/eV/cell
* size of the total moment: 1.776 μB/atom
* energy of formation: 0.331 eV/atom

Unit cell a=3.211 b=3.211 c=12.435 alpha=82.58 beta=82.58 gamma=60.00
Sites, in units of the cell vectors:
Hg 0.000 0.000 0.000
Pa 0.912 0.912 0.264
Pa 0.088 0.088 0.736
Gd 0.500 0.500 0.500

***

Look up the energy of formation of the sixth one. 0.010 eV/atom

***

What is the Fermi-level density of states in the seventh record? 3.87 states/eV/cell

***

Which value of Fermi-level density of states does entry 6 give? 5.28 states/eV/cell